# 1
The following is a DFT calculation (PBE-GGA) of a relaxed HoMg2Sn crystal.

Computed properties:
* distance to the lowest polymorph of the same formula: 0.000 eV per atom
* calculated volume: 95 Å³/f.u.
* magnetization: 0.000 μB per formula unit
* formation energy: -0.409 eV per atom
* final energy: -13.406 eV/f.u.

Cell: 4.7435 4.4853 4.4853 Å, 90.00 90.00 90.00°
Fractional coordinates of all 4 atoms:
Ho: 0.5000 0.0000 0.0000
Mg: 0.0000 0.0000 0.5000
Mg: 0.0000 0.5000 0.0000
Sn: 0.5000 0.5000 0.5000

# 2
The following is a DFT calculation (PBE-GGA) of a relaxed HoMgSn crystal.

Computed properties:
* calculated volume: 80 Å³/f.u.
* magnetization: 0.000 μB per formula unit
* formation energy: -0.217 eV per atom
* final energy: -10.826 eV/f.u.

Cell: 5.1161 5.1161 7.0174 Å, 90.00 90.00 120.00°
Fractional coordinates of all 6 atoms:
Ho: 0.3333 0.6667 0.8826
Ho: 0.6667 0.3333 0.1174
Mg: 0.6667 0.3333 0.6014
Mg: 0.3333 0.6667 0.3986
Sn: 0.0000 0.0000 0.7710
Sn: 0.0000 0.0000 0.2290

# 3
The following is a DFT calculation (PBE-GGA) of a relaxed Ho4MgSn crystal.

Computed properties:
* calculated volume: 193 Å³/f.u.
* magnetization: 0.000 μB per formula unit
* formation energy: -0.009 eV per atom
* final energy: -23.965 eV/f.u.

Cell: 5.2759 6.5503 11.4679 Å, 90.00 103.30 90.00°
Fractional coordinates of all 12 atoms:
Ho: 0.8591 0.3209 0.7182
Ho: 0.7052 0.0765 0.4104
Ho: 0.4282 0.8239 0.8565
Ho: 0.5718 0.3239 0.1435
Ho: 0.2948 0.5765 0.5896
Ho: 0.1409 0.8209 0.2818
Ho: 0.7056 0.5665 0.4113
Ho: 0.2944 0.0665 0.5887
Sn: 0.8405 0.8214 0.6811
Sn: 0.1595 0.3214 0.3189
Mg: 0.4313 0.3241 0.8626
Mg: 0.5687 0.8241 0.1374

# 4
The following is a DFT calculation (PBE-GGA) of a relaxed Ho8MgSn6 crystal.

Computed properties:
* calculated volume: 451 Å³/f.u.
* magnetization: 0.000 μB per formula unit
* formation energy: -0.515 eV per atom
* final energy: -69.961 eV/f.u.

Cell: 9.0877 9.0877 8.2020 Å, 56.36 56.36 60.00°
Fractional coordinates of all 15 atoms:
Ho: 0.1030 0.3885 0.7059
Ho: 0.8970 0.6115 0.2941
Ho: 0.1974 0.8970 0.2941
Ho: 0.3328 0.3328 0.0016
Ho: 0.6115 0.1974 0.2941
Ho: 0.3885 0.8026 0.7059
Ho: 0.8026 0.1030 0.7059
Ho: 0.6672 0.6672 0.9984
Sn: 0.2888 0.5634 0.2174
Sn: 0.4366 0.0696 0.7826
Sn: 0.0696 0.7112 0.7826
Sn: 0.5634 0.9304 0.2174
Sn: 0.9304 0.2888 0.2174
Sn: 0.7112 0.4366 0.7826
Mg: 0.0000 0.0000 0.0000

# 5
The following is a DFT calculation (PBE-GGA) of a relaxed Ho3MgSn3 crystal.

Computed properties:
* calculated volume: 224 Å³/f.u.
* magnetization: 0.000 μB per formula unit
* formation energy: -0.365 eV per atom
* final energy: -29.892 eV/f.u.

Cell: 6.1184 9.2015 9.2015 Å, 120.00 90.00 90.00°
Fractional coordinates of all 14 atoms:
Ho: 0.7500 0.3516 0.0390
Ho: 0.7500 0.6874 0.6484
Ho: 0.7500 0.9610 0.3126
Ho: 0.2500 0.6484 0.9610
Ho: 0.2500 0.3126 0.3516
Ho: 0.2500 0.0390 0.6874
Sn: 0.2500 0.9681 0.3165
Sn: 0.2500 0.6835 0.6516
Sn: 0.7500 0.0319 0.6835
Sn: 0.7500 0.3165 0.3484
Sn: 0.7500 0.6516 0.9681
Sn: 0.2500 0.3484 0.0319
Mg: 0.7500 0.3333 0.6667
Mg: 0.2500 0.6667 0.3333

# 6
The following is a DFT calculation (PBE-GGA) of a relaxed Ho2Mg2Sn3 crystal.

Computed properties:
* calculated volume: 191 Å³/f.u.
* magnetization: 0.000 μB per formula unit
* formation energy: -0.351 eV per atom
* final energy: -26.810 eV/f.u.

Cell: 4.6252 9.1611 5.8950 Å, 120.56 113.10 90.00°
Fractional coordinates of all 7 atoms:
Sn: 0.6649 0.1577 0.3298
Sn: 0.0000 0.5000 0.0000
Sn: 0.3351 0.8423 0.6702
Ho: 0.4032 0.2233 0.8065
Ho: 0.5968 0.7767 0.1935
Mg: 0.1914 0.3658 0.3828
Mg: 0.8086 0.6342 0.6172